The following is a PBE calculation of an optimized crystal structure of CaPm2NdTl4, from the Alexandria database.

Summary:
E_tot, eV per atom: -3.61
Crystal system: trigonal

Lattice parameters (Å, degrees): 5.4816 5.4816 9.5809 73.38 73.38 60.00
Fractional positions:
Ca (0.5000, 0.5000, 0.5000)
Pm (0.7537, 0.7537, 0.7388)
Pm (0.2463, 0.2463, 0.2612)
Nd (0.0000, 0.0000, 0.0000)
Tl (0.3742, 0.3742, 0.8773)
Tl (0.8758, 0.8758, 0.3726)
Tl (0.1242, 0.1242, 0.6274)
Tl (0.6258, 0.6258, 0.1227)